[1]
Density functional theory data (SCAN) for a crystal of BeCr2Ir relaxed with PBEsol.

Output
E, eV/atom: -28.1555
Symmetry: P4mm, No. 99
Calculated formation energy, meV per atom: -100

Lattice parameters (Å, degrees): 2.6488 2.6488 6.4096 90.00 90.00 90.00
Last column: nearest neighbours and their distance in Å.
Sites, in units of the cell vectors:
Be (0.0000, 0.0000, 0.0000)  4 Ir 2.36, 4 Cr 2.39
Cr (0.0000, 0.0000, 0.5107)  4 Ir 2.53, 8 Cr 2.60-2.65
Cr (0.5000, 0.5000, 0.2304)  4 Be 2.39, 8 Cr 2.60-2.65
Ir (0.5000, 0.5000, 0.7753)  4 Be 2.36, 4 Cr 2.53

[2]
Density functional theory data (SCAN) for a crystal of Mg3Al18Cr2 relaxed with PBEsol.

Output
E, eV/atom: -8.4237
Symmetry: Fd-3m, No. 227
Calculated formation energy, meV per atom: -110

Lattice parameters (Å, degrees): 10.1761 10.1761 10.1761 60.00 60.00 60.00
Last column: nearest neighbours and their distance in Å.
Sites, in units of the cell vectors:
Mg (0.0000, 0.0000, 0.0000)  12 Al 3.08, 2 Mg 3.12
Mg (0.0000, 0.0000, 0.5000)  12 Al 3.08, 2 Mg 3.12
Mg (0.0000, 0.5000, 0.0000)  12 Al 3.08, 2 Mg 3.12
Mg (0.1250, 0.1250, 0.1250)  4 Mg 3.12, 12 Al 3.20
Mg (0.5000, 0.0000, 0.0000)  12 Al 3.08, 2 Mg 3.12
Mg (0.8750, 0.8750, 0.8750)  4 Mg 3.12, 12 Al 3.20
Al (0.0576, 0.3260, 0.3260)  8 Al 2.67-2.89, 1 Cr 2.77
Al (0.0576, 0.3260, 0.7904)  8 Al 2.67-2.89, 1 Cr 2.77
Al (0.0576, 0.7904, 0.3260)  8 Al 2.67-2.89, 1 Cr 2.77
Al (0.2096, 0.6740, 0.6740)  8 Al 2.67-2.89, 1 Cr 2.77
Al (0.2096, 0.6740, 0.9424)  8 Al 2.67-2.89, 1 Cr 2.77
Al (0.2096, 0.9424, 0.6740)  8 Al 2.67-2.89, 1 Cr 2.77
Al (0.2359, 0.2359, 0.5141)  2 Cr 2.55, 10 Al 2.67-2.83
Al (0.2359, 0.5141, 0.2359)  2 Cr 2.55, 10 Al 2.67-2.83
Al (0.2359, 0.5141, 0.5141)  2 Cr 2.55, 10 Al 2.67-2.83
Al (0.3260, 0.0576, 0.3260)  8 Al 2.67-2.89, 1 Cr 2.77
Al (0.3260, 0.0576, 0.7904)  8 Al 2.67-2.89, 1 Cr 2.77
Al (0.3260, 0.3260, 0.0576)  8 Al 2.67-2.89, 1 Cr 2.77
Al (0.3260, 0.3260, 0.7904)  8 Al 2.67-2.89, 1 Cr 2.77
Al (0.3260, 0.7904, 0.0576)  8 Al 2.67-2.89, 1 Cr 2.77
Al (0.3260, 0.7904, 0.3260)  8 Al 2.67-2.89, 1 Cr 2.77
Al (0.4859, 0.4859, 0.7641)  2 Cr 2.55, 10 Al 2.67-2.83
Al (0.4859, 0.7641, 0.4859)  2 Cr 2.55, 10 Al 2.67-2.83
Al (0.4859, 0.7641, 0.7641)  2 Cr 2.55, 10 Al 2.67-2.83
Al (0.5141, 0.2359, 0.2359)  2 Cr 2.55, 10 Al 2.67-2.83
Al (0.5141, 0.2359, 0.5141)  2 Cr 2.55, 10 Al 2.67-2.83
Al (0.5141, 0.5141, 0.2359)  2 Cr 2.55, 10 Al 2.67-2.83
Al (0.6740, 0.2096, 0.6740)  8 Al 2.67-2.89, 1 Cr 2.77
Al (0.6740, 0.2096, 0.9424)  8 Al 2.67-2.89, 1 Cr 2.77
Al (0.6740, 0.6740, 0.2096)  8 Al 2.67-2.89, 1 Cr 2.77
Al (0.6740, 0.6740, 0.9424)  8 Al 2.67-2.89, 1 Cr 2.77
Al (0.6740, 0.9424, 0.2096)  8 Al 2.67-2.89, 1 Cr 2.77
Al (0.6740, 0.9424, 0.6740)  8 Al 2.67-2.89, 1 Cr 2.77
Al (0.7641, 0.4859, 0.4859)  2 Cr 2.55, 10 Al 2.67-2.83
Al (0.7641, 0.4859, 0.7641)  2 Cr 2.55, 10 Al 2.67-2.83
Al (0.7641, 0.7641, 0.4859)  2 Cr 2.55, 10 Al 2.67-2.83
Al (0.7904, 0.0576, 0.3260)  8 Al 2.67-2.89, 1 Cr 2.77
Al (0.7904, 0.3260, 0.0576)  8 Al 2.67-2.89, 1 Cr 2.77
Al (0.7904, 0.3260, 0.3260)  8 Al 2.67-2.89, 1 Cr 2.77
Al (0.9424, 0.2096, 0.6740)  8 Al 2.67-2.89, 1 Cr 2.77
Al (0.9424, 0.6740, 0.2096)  8 Al 2.67-2.89, 1 Cr 2.77
Al (0.9424, 0.6740, 0.6740)  8 Al 2.67-2.89, 1 Cr 2.77
Cr (0.0000, 0.5000, 0.5000)  12 Al 2.55-2.77
Cr (0.5000, 0.0000, 0.5000)  12 Al 2.55-2.77
Cr (0.5000, 0.5000, 0.0000)  12 Al 2.55-2.77
Cr (0.5000, 0.5000, 0.5000)  12 Al 2.55-2.77